LiFeF3 (GGA+U, optimized geometry); excess energy over the best structure of this formula in the dataset = 64 meV per atom; Fermi-level density of states = 0.00 states/eV/cell; uncorrected energy = -104.3 eV/cell
1.0
8.034 0.000 0.000
0.000 3.034 0.000
0.000 0.000 9.708
Li Fe F
4 4 12
Direct
0.016 0.250 0.178
0.484 0.750 0.678
0.516 0.250 0.322
0.984 0.750 0.822
0.186 0.750 0.492
0.314 0.250 0.992
0.686 0.750 0.008
0.814 0.250 0.508
0.036 0.250 0.387
0.125 0.250 0.863
0.203 0.750 0.110
0.297 0.250 0.610
0.375 0.750 0.363
0.464 0.750 0.887
0.536 0.250 0.113
0.625 0.250 0.637
0.703 0.750 0.390
0.797 0.250 0.890
0.875 0.750 0.137
0.964 0.750 0.613